Record 1
First-principles (PBEsol) data for LiOsSe2 after structural relaxation, as listed in Alexandria.

Output
SG   Pmm2, No. 25
Uncorrected formation energy   -105 meV per atom

```
data_LiOsSe2
_cell_length_a 2.9984
_cell_length_b 3.7215
_cell_length_c 5.8544
_cell_angle_alpha 90.00
_cell_angle_beta 90.00
_cell_angle_gamma 90.00
_symmetry_space_group_name_H-M 'P 1'
_symmetry_Int_Tables_number 1
loop_
_symmetry_equiv_pos_as_xyz
'x,y,z'
loop_
_atom_site_label
_atom_site_fract_x
_atom_site_fract_y
_atom_site_fract_z
_atom_site_occupancy
Li1 0.0000 0.0000 0.0000 1
Os1 0.5000 0.5000 0.3017 1
Se1 0.0000 0.0000 0.4503 1
Se2 0.5000 0.5000 0.8786 1
```

Record 2
First-principles (PBEsol) data for Li3OsSe after structural relaxation, as listed in Alexandria.

Output
SG   Pm-3m, No. 221
Uncorrected formation energy   974 meV per atom

```
data_Li3OsSe
_cell_length_a 4.7790
_cell_length_b 4.7790
_cell_length_c 4.7790
_cell_angle_alpha 90.00
_cell_angle_beta 90.00
_cell_angle_gamma 90.00
_symmetry_space_group_name_H-M 'P 1'
_symmetry_Int_Tables_number 1
loop_
_symmetry_equiv_pos_as_xyz
'x,y,z'
loop_
_atom_site_label
_atom_site_fract_x
_atom_site_fract_y
_atom_site_fract_z
_atom_site_occupancy
Li1 0.0000 0.0000 0.5000 1
Li2 0.0000 0.5000 0.0000 1
Li3 0.5000 0.0000 0.0000 1
Os1 0.0000 0.0000 0.0000 1
Se1 0.5000 0.5000 0.5000 1
```

Record 3
First-principles (PBEsol) data for LiOsSe after structural relaxation, as listed in Alexandria.

Output
ΔE to the lowest computed polymorph   106 meV/atom
SG   F-43m, No. 216
Uncorrected formation energy   263 meV per atom

```
data_LiOsSe
_cell_length_a 4.0194
_cell_length_b 4.0194
_cell_length_c 4.0194
_cell_angle_alpha 60.00
_cell_angle_beta 60.00
_cell_angle_gamma 60.00
_symmetry_space_group_name_H-M 'P 1'
_symmetry_Int_Tables_number 1
loop_
_symmetry_equiv_pos_as_xyz
'x,y,z'
loop_
_atom_site_label
_atom_site_fract_x
_atom_site_fract_y
_atom_site_fract_z
_atom_site_occupancy
Li1 0.0000 0.0000 0.0000 1
Os1 0.5000 0.5000 0.5000 1
Se1 0.2500 0.2500 0.2500 1
```

Number 1: energy -5.576 eV/atom. Number 2: energy -3.419 eV/atom. Number 3: energy -5.748 eV/atom.